{"formula": "La2TeHRh", "functional": "PBE", "state": "relaxed", "lattice_angstrom": [[5.401, 0.000, 0.000], [0.000, 5.401, 0.000], [0.000, 0.000, 3.775]], "species": ["La", "La", "Te", "H", "Rh"], "fractional_positions": [[0.000, 0.500, 0.000], [0.500, 0.000, 0.000], [0.000, 0.000, 0.500], [0.500, 0.500, 0.000], [0.500, 0.500, 0.500]], "total_energy_ev_per_atom": -5.59}